# Rb2NbVI6

An optimized crystal structure of Rb2NbVI6 (PBE, Alexandria).

Cell: 8.158 8.158 8.131 Å, 59.89 59.89 90.00°
Each line ends with the local moment (μB).
Atoms (fractional coordinates):
I1 0.254 0.254 0.492  0.02
I2 0.746 0.746 0.508  0.02
I3 0.254 0.254 0.000  0.01
I4 0.746 0.746 0.000  0.01
I5 0.746 0.254 0.000  0.01
I6 0.254 0.746 0.000  0.01
Nb1 0.000 0.000 0.000  2.15
Rb1 0.750 0.250 0.500  0.00
Rb2 0.250 0.750 0.500  0.00
V1 0.500 0.500 0.000  -0.36

Output
The value obtained for the density of states at the Fermi level is 13.37 states/eV/f.u. Its uncorrected formation energy is -520.9 meV/atom.